Entry 1:
Compound: YTe2Mo
Source: the Alexandria database
Functional: GGA-PBEsol
Structure: optimized geometry

It has space group C2/m (No. 12), with a = 8.127 Å, b = 3.747 Å, c = 6.326 Å, α = 90.00°, β = 105.13° and γ = 90.00°. The asymmetric unit holds Y at (0.000, 0.000, 0.000), Te at (0.240, 0.000, 0.711) and Mo at (0.000, 0.500, 0.500).

The calculation puts the offset from the most stable computed form at 2.6 kJ per mole of atoms. The total moment comes out at 0.0 μB per formula unit. The calculation puts the energy relative to the elements, uncorrected at -1.5 eV/f.u. The value obtained for the density is 7.858 g cm⁻³. Its total DFT energy (no corrections) is -54.3 eV per cell.


Entry 2:
Compound: KIr2Pb
Source: the Alexandria database
Functional: GGA-PBEsol
Structure: optimized geometry

It has space group F-43m (No. 216), with a = 6.726 Å, b = 6.726 Å, c = 6.726 Å, α = 90.00°, β = 90.00° and γ = 90.00°. The asymmetric unit holds K at (0.000, 0.000, 0.000), Ir at (0.000, 0.000, 0.500), Ir at (0.250, 0.250, 0.750) and Pb at (0.250, 0.250, 0.250).

The total moment comes out at 0.0 μB per formula unit. The value obtained for the energy relative to the elements is 1.0003 eV per atom. The value obtained for the density is 13.768 g cm⁻³. Its total DFT energy (no corrections) is -83.1 eV per cell.


Entry 3:
Compound: NaNb2AlRh
Source: the Alexandria database
Functional: GGA-PBEsol
Structure: optimized geometry

It has space group P4/mmm (No. 123), with a = 4.579 Å, b = 4.579 Å, c = 4.421 Å, α = 90.00°, β = 90.00° and γ = 90.00°. The asymmetric unit holds Na at (0.000, 0.000, 0.000), Nb at (0.000, 0.500, 0.000), Al at (0.500, 0.500, 0.500) and Rh at (0.000, 0.000, 0.500).

The total moment comes out at 0.0 μB per formula unit. The value obtained for the energy relative to the elements is 1.7928 eV per atom. The value obtained for the density is 6.068 g cm⁻³. Its total DFT energy (no corrections) is -26.3 eV per cell.


Entry 4:
Compound: TaAs2Os
Source: the Alexandria database
Functional: GGA-PBEsol
Structure: optimized geometry

It has space group P4mm (No. 99), with a = 3.321 Å, b = 3.321 Å, c = 5.725 Å, α = 90.00°, β = 90.00° and γ = 90.00°. The asymmetric unit holds Ta at (0.000, 0.000, 0.000), As at (0.000, 0.000, 0.502), As at (0.500, 0.500, 0.191) and Os at (0.500, 0.500, 0.677).

The total moment comes out at 0.6 μB per formula unit. The value obtained for the energy relative to the elements is -0.0319 eV per atom. The value obtained for the density is 13.697 g cm⁻³. Its total DFT energy (no corrections) is -35.1 eV per cell.


Entry 5:
Compound: SiIr2Pb
Source: the Alexandria database
Functional: GGA-PBEsol
Structure: optimized geometry

It has space group R3m (No. 160, hexagonal axes), with a = 3.0957 Å, b = 3.0957 Å, c = 24.9236 Å, α = 90.00°, β = 90.00° and γ = 120.00°. The asymmetric unit holds Si at (0.0000, 0.0000, 0.0000), Ir at (0.0000, 0.0000, 0.2724), Ir at (0.0000, 0.0000, 0.5186) and Pb at (0.0000, 0.0000, 0.7658).

The total moment comes out at 0.0 μB per formula unit. The calculation puts the energy relative to the elements, uncorrected at 1.6 eV/f.u. The value obtained for the density is 14.924 g cm⁻³. Its total DFT energy (no corrections) is -83.5 eV per cell.


Entry 6:
Compound: LaYIn2
Source: the Alexandria database
Functional: GGA-PBEsol
Structure: optimized geometry

It has space group Pmm2 (No. 25), with a = 3.827 Å, b = 5.364 Å, c = 5.365 Å, α = 90.00°, β = 90.00° and γ = 90.00°. The asymmetric unit holds La at (0.000, 0.000, 0.000), Y at (0.000, 0.500, 0.504), In at (0.500, 0.000, 0.500) and In at (0.500, 0.500, 0.005).

The total moment comes out at 0.0 μB per formula unit. The value obtained for the energy relative to the elements is -0.5116 eV per atom. The value obtained for the density is 6.897 g cm⁻³. Its total DFT energy (no corrections) is -20.2 eV per cell.


Q: Which value of total moment does entry 1 give?
A: 0.0 μB per formula unit